DFT (PBEsol) results for a relaxed structure of TaHgAs2.

## Properties
formation energy: 0.210 eV/atom
size of the total moment: 0.0 μB/f.u.
N(E_F): 4.2 states/eV per cell

CIF file:
```
data_TaHgAs2
_chemical_formula_sum 'Ta2 Hg2 As4'
_space_group_name_H-M_alt 'C m m 2'
_space_group_IT_number 35
_cell_length_a 3.4477
_cell_length_b 4.7202
_cell_length_c 9.4813
_cell_angle_alpha 90.00
_cell_angle_beta 90.00
_cell_angle_gamma 90.00
loop_
_space_group_symop_operation_xyz
'x,y,z'
'-x,-y,z'
'-x,y,z'
'x,-y,z'
'x+1/2,y+1/2,z'
'-x+1/2,-y+1/2,z'
'-x+1/2,y+1/2,z'
'x+1/2,-y+1/2,z'
loop_
_atom_site_label
_atom_site_type_symbol
_atom_site_fract_x
_atom_site_fract_y
_atom_site_fract_z
Ta1 Ta 0.0000 0.0000 0.0000
Hg1 Hg 0.0000 0.5000 0.2462
As1 As 0.0000 0.0000 0.4869
As2 As 0.0000 0.5000 0.7896
```

=====

DFT (PBEsol) results for a relaxed structure of OsAuBr2.

## Properties
energy relative to the lowest polymorph listed for this composition: 490 meV per atom
size of the total moment: 0.0 μB/f.u.
raw formation energy: 488 kJ/mol of formula units
N(E_F): 6.1 states/eV per cell

CIF file:
```
data_OsAuBr2
_chemical_formula_sum 'Os2 Au2 Br4'
_space_group_name_H-M_alt 'I 4/m m m'
_space_group_IT_number 139
_space_group_name_Hall '-I 4 2'
_cell_length_a 4.6999
_cell_length_b 4.6999
_cell_length_c 6.4897
_cell_angle_alpha 90.00
_cell_angle_beta 90.00
_cell_angle_gamma 90.00
loop_
_atom_site_label
_atom_site_type_symbol
_atom_site_fract_x
_atom_site_fract_y
_atom_site_fract_z
Os1 Os 0.0000 0.0000 0.0000
Au1 Au 0.0000 0.0000 0.5000
Br1 Br 0.0000 0.5000 0.2500
```